No. 1
Density functional theory data (PBE) for an optimized crystal structure of BaTh2Tl9.

Computed properties:
ΔH_f (0 K): -183 meV per atom

CIF file:
```
data_BaTh2Tl9
_chemical_formula_sum 'Ba1 Th2 Tl9'
_space_group_name_H-M_alt 'P 4/m m m'
_space_group_IT_number 123
_space_group_name_Hall '-P 4 2'
_cell_length_a 4.890
_cell_length_b 4.890
_cell_length_c 14.924
_cell_angle_alpha 90.00
_cell_angle_beta 90.00
_cell_angle_gamma 90.00
loop_
_atom_site_label
_atom_site_fract_x
_atom_site_fract_y
_atom_site_fract_z
Ba1 0.000 0.000 0.000
Th1 0.000 0.000 0.345
Tl1 0.000 0.500 0.177
Tl2 0.000 0.500 0.500
Tl3 0.500 0.500 0.000
Tl4 0.500 0.500 0.336
```

No. 2
Density functional theory data (PBE) for an optimized crystal structure of BaTh4Tl5.

Computed properties:
ΔH_f (0 K): -136 meV per atom

CIF file:
```
data_BaTh4Tl5
_chemical_formula_sum 'Ba1 Th4 Tl5'
_space_group_name_H-M_alt 'P 4/m m m'
_space_group_IT_number 123
_space_group_name_Hall '-P 4 2'
_cell_length_a 4.183
_cell_length_b 4.183
_cell_length_c 18.010
_cell_angle_alpha 90.00
_cell_angle_beta 90.00
_cell_angle_gamma 90.00
loop_
_atom_site_label
_atom_site_fract_x
_atom_site_fract_y
_atom_site_fract_z
Ba1 0.000 0.000 0.000
Th1 0.000 0.000 0.222
Th2 0.000 0.000 0.407
Tl1 0.500 0.500 0.125
Tl2 0.500 0.500 0.313
Tl3 0.500 0.500 0.500
```

No. 3
Density functional theory data (PBE) for an optimized crystal structure of BaThTl2.

Computed properties:
ΔH_f (0 K): -215 meV per atom

CIF file:
```
data_BaThTl2
_chemical_formula_sum 'Ba1 Th1 Tl2'
_space_group_name_H-M_alt 'P 4/m m m'
_space_group_IT_number 123
_space_group_name_Hall '-P 4 2'
_cell_length_a 3.712
_cell_length_b 3.712
_cell_length_c 9.602
_cell_angle_alpha 90.00
_cell_angle_beta 90.00
_cell_angle_gamma 90.00
loop_
_atom_site_label
_atom_site_fract_x
_atom_site_fract_y
_atom_site_fract_z
Ba1 0.000 0.000 0.000
Th1 0.000 0.000 0.500
Tl1 0.500 0.500 0.269
```

No. 4
Density functional theory data (PBE) for an optimized crystal structure of BaTm2Th.

Computed properties:
ΔH_f (0 K): 129 meV per atom

CIF file:
```
data_BaTm2Th
_chemical_formula_sum 'Ba1 Tm2 Th1'
_space_group_name_H-M_alt 'P 4/m m m'
_space_group_IT_number 123
_space_group_name_Hall '-P 4 2'
_cell_length_a 3.666
_cell_length_b 3.666
_cell_length_c 10.748
_cell_angle_alpha 90.00
_cell_angle_beta 90.00
_cell_angle_gamma 90.00
loop_
_atom_site_label
_atom_site_fract_x
_atom_site_fract_y
_atom_site_fract_z
Ba1 0.000 0.000 0.000
Tm1 0.500 0.500 0.289
Th1 0.000 0.000 0.500
```

No. 5
Density functional theory data (PBE) for an optimized crystal structure of BaTm2Th.

Computed properties:
ΔH_f (0 K): 218 meV per atom

CIF file:
```
data_BaTm2Th
_chemical_formula_sum 'Ba3 Tm6 Th3'
_space_group_name_H-M_alt 'R -3 m'
_space_group_IT_number 166
_space_group_name_Hall '-R 3 2"'
_cell_length_a 3.6019
_cell_length_b 3.6019
_cell_length_c 38.0292
_cell_angle_alpha 90.00
_cell_angle_beta 90.00
_cell_angle_gamma 120.00
loop_
_atom_site_label
_atom_site_fract_x
_atom_site_fract_y
_atom_site_fract_z
Ba1 0.0000 0.0000 0.0000
Tm1 0.0000 0.0000 0.0950
Th1 0.0000 0.0000 0.5000
```

No. 6
Density functional theory data (PBE) for an optimized crystal structure of BaTmTh2.

Computed properties:
ΔH_f (0 K): 306 meV per atom

CIF file:
```
data_BaTmTh2
_chemical_formula_sum 'Ba3 Tm3 Th6'
_space_group_name_H-M_alt 'R -3 m'
_space_group_IT_number 166
_space_group_name_Hall '-R 3 2"'
_cell_length_a 3.5649
_cell_length_b 3.5649
_cell_length_c 39.0379
_cell_angle_alpha 90.00
_cell_angle_beta 90.00
_cell_angle_gamma 120.00
loop_
_atom_site_label
_atom_site_fract_x
_atom_site_fract_y
_atom_site_fract_z
Ba1 0.0000 0.0000 0.0000
Tm1 0.0000 0.0000 0.5000
Th1 0.0000 0.0000 0.0930
```

No. 7
Density functional theory data (PBE) for an optimized crystal structure of BaY2Th.

Computed properties:
ΔH_f (0 K): 197 meV per atom

CIF file:
```
data_BaY2Th
_chemical_formula_sum 'Ba3 Y6 Th3'
_space_group_name_H-M_alt 'R -3 m'
_space_group_IT_number 166
_space_group_name_Hall '-R 3 2"'
_cell_length_a 3.6413
_cell_length_b 3.6413
_cell_length_c 38.3776
_cell_angle_alpha 90.00
_cell_angle_beta 90.00
_cell_angle_gamma 120.00
loop_
_atom_site_label
_atom_site_fract_x
_atom_site_fract_y
_atom_site_fract_z
Ba1 0.0000 0.0000 0.0000
Y1 0.0000 0.0000 0.0949
Th1 0.0000 0.0000 0.5000
```

No. 8
Density functional theory data (PBE) for an optimized crystal structure of BaY2Th.

Computed properties:
ΔH_f (0 K): 116 meV per atom

CIF file:
```
data_BaY2Th
_chemical_formula_sum 'Ba1 Y2 Th1'
_space_group_name_H-M_alt 'P 4/m m m'
_space_group_IT_number 123
_space_group_name_Hall '-P 4 2'
_cell_length_a 3.692
_cell_length_b 3.692
_cell_length_c 10.968
_cell_angle_alpha 90.00
_cell_angle_beta 90.00
_cell_angle_gamma 90.00
loop_
_atom_site_label
_atom_site_fract_x
_atom_site_fract_y
_atom_site_fract_z
Ba1 0.000 0.000 0.000
Y1 0.500 0.500 0.289
Th1 0.000 0.000 0.500
```

No. 9
Density functional theory data (PBE) for an optimized crystal structure of BaTh2Zr.

Computed properties:
ΔH_f (0 K): 369 meV per atom

CIF file:
```
data_BaTh2Zr
_chemical_formula_sum 'Ba3 Th6 Zr3'
_space_group_name_H-M_alt 'R -3 m'
_space_group_IT_number 166
_space_group_name_Hall '-R 3 2"'
_cell_length_a 3.5061
_cell_length_b 3.5061
_cell_length_c 37.5827
_cell_angle_alpha 90.00
_cell_angle_beta 90.00
_cell_angle_gamma 120.00
loop_
_atom_site_label
_atom_site_fract_x
_atom_site_fract_y
_atom_site_fract_z
Ba1 0.0000 0.0000 0.0000
Th1 0.0000 0.0000 0.0947
Zr1 0.0000 0.0000 0.5000
```

No. 10
Density functional theory data (PBE) for an optimized crystal structure of BaTi.

Computed properties:
ΔH_f (0 K): 997 meV per atom

CIF file:
```
data_BaTi
_chemical_formula_sum 'Ba8 Ti8'
_space_group_name_H-M_alt 'I -4 3 m'
_space_group_IT_number 217
_space_group_name_Hall 'I -4 2 3'
_cell_length_a 10.047
_cell_length_b 10.047
_cell_length_c 10.047
_cell_angle_alpha 90.00
_cell_angle_beta 90.00
_cell_angle_gamma 90.00
loop_
_atom_site_label
_atom_site_fract_x
_atom_site_fract_y
_atom_site_fract_z
Ba1 0.213 0.213 0.787
Ti1 0.089 0.089 0.089
```

No. 11
Density functional theory data (PBE) for an optimized crystal structure of BaTi.

Computed properties:
ΔH_f (0 K): 1005 meV per atom

CIF file:
```
data_BaTi
_chemical_formula_sum 'Ba2 Ti2'
_space_group_name_H-M_alt 'A m m 2'
_space_group_IT_number 38
_cell_length_a 5.925
_cell_length_b 3.461
_cell_length_c 6.250
_cell_angle_alpha 90.00
_cell_angle_beta 90.00
_cell_angle_gamma 90.00
loop_
_space_group_symop_operation_xyz
'x,y,z'
'-x,-y,z'
'-x,y,z'
'x,-y,z'
'x,y+1/2,z+1/2'
'-x,-y+1/2,z+1/2'
'-x,y+1/2,z+1/2'
'x,-y+1/2,z+1/2'
loop_
_atom_site_label
_atom_site_fract_x
_atom_site_fract_y
_atom_site_fract_z
Ba1 0.000 0.000 0.000
Ti1 0.500 0.000 0.318
```

No. 12
Density functional theory data (PBE) for an optimized crystal structure of BaTi.

Computed properties:
ΔH_f (0 K): 1057 meV per atom

CIF file:
```
data_BaTi
_chemical_formula_sum 'Ba4 Ti4'
_space_group_name_H-M_alt 'P 42/m n m'
_space_group_IT_number 136
_space_group_name_Hall '-P 4n 2n'
_cell_length_a 7.015
_cell_length_b 7.015
_cell_length_c 6.831
_cell_angle_alpha 90.00
_cell_angle_beta 90.00
_cell_angle_gamma 90.00
loop_
_atom_site_label
_atom_site_fract_x
_atom_site_fract_y
_atom_site_fract_z
Ba1 0.175 0.175 0.000
Ti1 0.106 0.106 0.500
```

Which value of ΔH_f (0 K) does entry 1 give?
-183 meV per atom

Please write out number 3 again, unchanged.
Density functional theory data (PBE) for an optimized crystal structure of BaThTl2.

Computed properties:
ΔH_f (0 K): -215 meV per atom

CIF file:
```
data_BaThTl2
_chemical_formula_sum 'Ba1 Th1 Tl2'
_space_group_name_H-M_alt 'P 4/m m m'
_space_group_IT_number 123
_space_group_name_Hall '-P 4 2'
_cell_length_a 3.712
_cell_length_b 3.712
_cell_length_c 9.602
_cell_angle_alpha 90.00
_cell_angle_beta 90.00
_cell_angle_gamma 90.00
loop_
_atom_site_label
_atom_site_fract_x
_atom_site_fract_y
_atom_site_fract_z
Ba1 0.000 0.000 0.000
Th1 0.000 0.000 0.500
Tl1 0.500 0.500 0.269
```